No. 1
Compound: CrRu
Source: the Alexandria database
Functional: PBE
Structure: optimized geometry

Properties
Total DFT energy (no corrections) ... -8.57 eV per atom
SG ... Fm-3m

Cell and atoms, written as POSCAR:
```
CrRu
1.0
3.4583 0.0000 0.0000
1.7292 2.9950 0.0000
1.7292 0.9983 2.8237
Ru Cr
1 1
Direct
0.5000 0.5000 0.5000
0.0000 0.0000 0.0000
```

---

No. 2
Compound: Cr2Ru
Source: the Alexandria database
Functional: PBE
Structure: optimized geometry

Properties
Total DFT energy (no corrections) ... -9.06 eV per atom
SG ... P-62m

Cell and atoms, written as POSCAR:
```
Cr2Ru
1.0
2.9999 -5.1960 0.0000
2.9999 5.1960 0.0000
0.0000 0.0000 4.0687
Ru Cr
3 6
Direct
0.3333 0.6667 0.0000
0.0000 0.0000 0.5000
0.6667 0.3333 0.0000
0.0000 0.5641 0.5000
0.4359 0.4359 0.5000
0.0000 0.2447 0.0000
0.5641 0.0000 0.5000
0.2447 0.0000 0.0000
0.7553 0.7553 0.0000
```

---

No. 3
Compound: Cr3Ru
Source: the Alexandria database
Functional: PBE
Structure: optimized geometry

Properties
Total DFT energy (no corrections) ... -9.48 eV per atom
SG ... P4/mmm

Cell and atoms, written as POSCAR:
```
Cr3Ru
1.0
-1.1685 -2.5400 0.6918
1.7986 -1.3230 -1.8195
3.9752 -0.6331 4.3898
Cr Ru
3 1
Direct
0.5000 0.5000 0.2500
0.0000 0.0000 0.0205
0.0000 0.0000 0.4795
0.5000 0.5000 0.7500
```

---

No. 4
Compound: Cr2Ru
Source: the Alexandria database
Functional: PBE
Structure: optimized geometry

Properties
Total DFT energy (no corrections) ... -9.37 eV per atom
SG ... Pnma

Cell and atoms, written as POSCAR:
```
Cr2Ru
1.0
-3.6850 3.3578 1.1809
-2.1879 -1.3303 -3.0449
-3.1502 -5.0254 4.4591
Ru Cr
4 8
Direct
0.6584 0.2500 0.5701
0.1584 0.2500 0.9299
0.3416 0.7500 0.4299
0.8416 0.7500 0.0701
0.4737 0.7500 0.7694
0.8407 0.7500 0.4077
0.3407 0.7500 0.0923
0.6593 0.2500 0.9077
0.1593 0.2500 0.5923
0.0263 0.2500 0.2694
0.9737 0.7500 0.7306
0.5263 0.2500 0.2306
```

---

No. 5
Compound: Cr3Ru
Source: the Alexandria database
Functional: PBE
Structure: optimized geometry

Properties
Total DFT energy (no corrections) ... -9.27 eV per atom
SG ... P4/mmm

Cell and atoms, written as POSCAR:
```
Cr3Ru
1.0
-2.5490 0.0592 -0.3704
0.3631 -0.2505 -2.5384
-0.2762 -7.5017 0.7008
Cr Ru
3 1
Direct
0.0000 0.0000 0.4999
0.0000 0.0000 0.0001
0.5000 0.5000 0.7500
0.5000 0.5000 0.2500
```

---

No. 6
Compound: CrRu
Source: the Alexandria database
Functional: PBE
Structure: optimized geometry

Properties
Total DFT energy (no corrections) ... -8.66 eV per atom
SG ... P4_2/mnm

Cell and atoms, written as POSCAR:
```
CrRu
1.0
-2.9071 -1.1324 -3.8730
3.5739 -2.9388 -1.8233
-1.7301 -3.5545 2.3380
Ru Cr
4 4
Direct
0.6880 0.3120 0.5000
0.8120 0.8120 0.0000
0.1880 0.1880 0.0000
0.3120 0.6880 0.5000
0.6811 0.3189 0.0000
0.8189 0.8189 0.5000
0.3189 0.6811 0.0000
0.1811 0.1811 0.5000
```

---

No. 7
Compound: Cr5Ru
Source: the Alexandria database
Functional: PBE
Structure: optimized geometry

Properties
Total DFT energy (no corrections) ... -9.50 eV per atom
Energy above the most stable polymorph in this dataset ... 17 meV per atom
SG ... Cmmm

Cell and atoms, written as POSCAR:
```
Cr5Ru
1.0
-0.8018 -2.6909 -0.6646
5.2796 -3.2768 0.6341
-0.9153 -0.7070 3.9672
Ru Cr
1 5
Direct
0.8612 0.2776 0.5000
0.6960 0.6079 0.0000
0.0262 0.9476 0.0000
0.3610 0.2780 0.0000
0.1861 0.6278 0.5000
0.5361 0.9277 0.5000
```

---

No. 8
Compound: Cr2Ru
Source: the Alexandria database
Functional: PBE
Structure: optimized geometry

Properties
Total DFT energy (no corrections) ... -9.26 eV per atom
SG ... P-3m1

Cell and atoms, written as POSCAR:
```
Cr2Ru
1.0
-0.4666 -1.8357 -1.8251
1.8566 -0.3973 1.8204
-4.3172 -2.6955 3.8148
Cr Ru
2 1
Direct
0.3333 0.6667 0.6674
0.0000 0.0000 0.9993
0.6667 0.3333 0.3333
```